1.
LiTb2Al4Pt3: relaxed, GGA-PBE.

Properties
- calculated total energy (eV/cell) = -53.82
- ΔE_f (eV/atom) = -0.955
- space-group type = P-4m2 (115)

```
data_LiTb2Al4Pt3
_chemical_formula_sum 'Li1 Tb2 Al4 Pt3'
_space_group_name_H-M_alt 'P 1'
_space_group_IT_number 1
_cell_length_a 4.151
_cell_length_b 4.151
_cell_length_c 10.825
_cell_angle_alpha 90.00
_cell_angle_beta 90.00
_cell_angle_gamma 90.00
loop_
_space_group_symop_operation_xyz
'x,y,z'
loop_
_atom_site_label
_atom_site_fract_x
_atom_site_fract_y
_atom_site_fract_z
_atom_site_occupancy
Li1 0.500 0.500 0.500 1
Pt1 0.000 0.500 0.137 1
Pt2 0.500 0.000 0.863 1
Pt3 0.000 0.000 0.500 1
Al1 0.000 0.000 0.000 1
Al2 0.000 0.500 0.368 1
Al3 0.500 0.500 0.000 1
Al4 0.500 0.000 0.632 1
Tb1 0.500 0.000 0.243 1
Tb2 0.000 0.500 0.757 1
```

2.
TbZrScAl: relaxed, GGA-PBE.

Properties
- calculated total energy (eV/cell) = -23.56
- ΔE_f (eV/atom) = -0.078
- space-group type = F-43m (216)

```
data_TbZrScAl
_chemical_formula_sum 'Tb1 Zr1 Sc1 Al1'
_space_group_name_H-M_alt 'P 1'
_space_group_IT_number 1
_cell_length_a 5.068
_cell_length_b 5.068
_cell_length_c 5.068
_cell_angle_alpha 60.00
_cell_angle_beta 60.00
_cell_angle_gamma 60.00
loop_
_space_group_symop_operation_xyz
'x,y,z'
loop_
_atom_site_label
_atom_site_fract_x
_atom_site_fract_y
_atom_site_fract_z
_atom_site_occupancy
Al1 0.500 0.500 0.500 1
Zr1 0.750 0.750 0.750 1
Tb1 0.250 0.250 0.250 1
Sc1 0.000 0.000 0.000 1
```

3.
LiDy8In2: relaxed, GGA-PBE.

Properties
- calculated total energy (eV/cell) = -45.53
- ΔE_f (eV/atom) = -0.120
- space-group type = C2/m (12)

```
data_LiDy8In2
_chemical_formula_sum 'Li1 Dy8 In2'
_space_group_name_H-M_alt 'P 1'
_space_group_IT_number 1
_cell_length_a 5.249
_cell_length_b 6.906
_cell_length_c 9.294
_cell_angle_alpha 101.00
_cell_angle_beta 106.40
_cell_angle_gamma 90.00
loop_
_space_group_symop_operation_xyz
'x,y,z'
loop_
_atom_site_label
_atom_site_fract_x
_atom_site_fract_y
_atom_site_fract_z
_atom_site_occupancy
Dy1 0.977 0.240 0.954 1
Dy2 0.344 0.053 0.687 1
Dy3 0.188 0.265 0.377 1
Dy4 0.594 0.455 0.189 1
Dy5 0.656 0.947 0.313 1
Dy6 0.406 0.545 0.811 1
Dy7 0.812 0.735 0.623 1
Dy8 0.023 0.760 0.046 1
In1 0.199 0.722 0.398 1
In2 0.801 0.278 0.602 1
Li1 0.500 0.000 0.000 1
```

4.
Li3Pt: relaxed, GGA-PBE.

Properties
- calculated total energy (eV/cell) = -26.73
- ΔE_f (eV/atom) = -0.396
- offset from the most stable computed form (eV/atom) = 0.027
- space-group type = Pm-3n (223)

```
data_Li3Pt
_chemical_formula_sum 'Li6 Pt2'
_space_group_name_H-M_alt 'P 1'
_space_group_IT_number 1
_cell_length_a 4.848
_cell_length_b 4.848
_cell_length_c 4.848
_cell_angle_alpha 90.00
_cell_angle_beta 90.00
_cell_angle_gamma 90.00
loop_
_space_group_symop_operation_xyz
'x,y,z'
loop_
_atom_site_label
_atom_site_fract_x
_atom_site_fract_y
_atom_site_fract_z
_atom_site_occupancy
Li1 0.750 0.500 0.000 1
Li2 0.250 0.500 0.000 1
Li3 0.500 0.000 0.750 1
Li4 0.500 0.000 0.250 1
Li5 0.000 0.250 0.500 1
Li6 0.000 0.750 0.500 1
Pt1 0.000 0.000 0.000 1
Pt2 0.500 0.500 0.500 1
```

5.
Sc3ZnC: relaxed, GGA-PBE.

Properties
- calculated total energy (eV/cell) = -61.71
- ΔE_f (eV/atom) = -0.272
- offset from the most stable computed form (eV/atom) = 0.165
- space-group type = R-3 (148)

```
data_Sc3ZnC
_chemical_formula_sum 'Sc6 Zn2 C2'
_space_group_name_H-M_alt 'P 1'
_space_group_IT_number 1
_cell_length_a 7.283
_cell_length_b 7.283
_cell_length_c 7.283
_cell_angle_alpha 47.89
_cell_angle_beta 47.89
_cell_angle_gamma 47.89
loop_
_space_group_symop_operation_xyz
'x,y,z'
loop_
_atom_site_label
_atom_site_fract_x
_atom_site_fract_y
_atom_site_fract_z
_atom_site_occupancy
C1 0.163 0.163 0.163 1
C2 0.837 0.837 0.837 1
Sc1 0.438 0.068 0.794 1
Sc2 0.932 0.206 0.562 1
Sc3 0.206 0.562 0.932 1
Sc4 0.794 0.438 0.068 1
Sc5 0.068 0.794 0.438 1
Sc6 0.562 0.932 0.206 1
Zn1 0.345 0.345 0.345 1
Zn2 0.655 0.655 0.655 1
```

6.
GeNCl2: relaxed, GGA-PBE.

Properties
- raw formation energy (meV per atom) = 728
- calculated total energy (eV/cell) = -13.72
- offset from the most stable computed form (eV/atom) = 0.000
- space-group type = R-3m (166)

```
data_GeNCl2
_chemical_formula_sum 'Ge1 N1 Cl2'
_space_group_name_H-M_alt 'P 1'
_space_group_IT_number 1
_cell_length_a 10.261
_cell_length_b 10.261
_cell_length_c 10.261
_cell_angle_alpha 22.16
_cell_angle_beta 22.16
_cell_angle_gamma 22.16
loop_
_space_group_symop_operation_xyz
'x,y,z'
loop_
_atom_site_label
_atom_site_fract_x
_atom_site_fract_y
_atom_site_fract_z
_atom_site_occupancy
Cl1 0.118 0.118 0.118 1
Cl2 0.882 0.882 0.882 1
N1 0.000 0.000 0.000 1
Ge1 0.500 0.500 0.500 1
```